1.
CaLaCr3: relaxed, PBEsol.

Summary:
As for the calculated volume: 113.4 Å³/cell. The magnetic moment comes out at 1.76 μB per atom. As for the total energy: -6.0472 eV/atom.

abc: 4.8402 4.8402 4.8402
angles: 90.00 90.00 90.00
Last column: nearest neighbours and their distance in Å.
Space group Pm-3m (No. 221)
Symmetry-distinct sites (fractional):
Ca 0.0000 0.0000 0.0000  12 Cr 3.42
La 0.5000 0.5000 0.5000  6 Cr 2.42
Cr 0.0000 0.5000 0.5000  2 La 2.42



2.
Ca2LaCr: relaxed, PBEsol.

Summary:
As for the calculated volume: 243.8 Å³/cell. The magnetic moment comes out at 0.88 μB per atom. The calculation puts the energy above the most stable polymorph in this dataset at 0 meV per atom.

abc: 3.7769 5.5238 11.6869
angles: 90.00 90.00 90.00
Last column: nearest neighbours and their distance in Å.
Space group Immm (No. 71)
Symmetry-distinct sites (fractional):
Ca 0.0000 0.0000 0.2111  2 Cr 3.11, 4 Ca 3.47
La 0.0000 0.5000 0.0000  4 Cr 3.35, 4 Ca 3.70
Cr 0.0000 0.5000 0.5000  4 Ca 3.11, 4 La 3.35



3.
Ca2LaCr: relaxed, PBEsol.

Summary:
As for the calculated volume: 387.4 Å³/cell. The magnetic moment comes out at 0.82 μB per atom. The calculation puts the energy above the most stable polymorph in this dataset at 58 meV per atom.

abc: 3.7296 3.7296 32.1574
angles: 90.00 90.00 120.00
Last column: nearest neighbours and their distance in Å.
Space group R3m (No. 160, hexagonal axes)
Symmetry-distinct sites (fractional):
Ca 0.0000 0.0000 0.0000  3 Cr 3.09
Ca 0.0000 0.0000 0.2327  9 Ca 3.73-3.89, 3 La 3.93
La 0.0000 0.0000 0.4637  3 Cr 2.93
Cr 0.0000 0.0000 0.7354  3 La 2.93, 3 Ca 3.09



4.
CaLaCrNiO6: relaxed, PBEsol.

Summary:
As for the calculated volume: 215.2 Å³/cell. The magnetic moment comes out at 0.30 μB per atom. As for the energy relative to the elements, uncorrected: -2.301 eV per atom.

abc: 5.3410 5.3437 9.2328
angles: 90.00 125.25 90.00
Last column: nearest neighbours and their distance in Å.
Space group Pc (No. 7)
Symmetry-distinct sites (fractional):
Ca 0.0000 0.2032 0.0000  7 O 2.34-2.59
La 0.5100 0.2663 0.4993  6 O 2.37-2.65
Cr 0.7552 0.2594 0.2476  6 O 1.84-1.93
Ni 0.2588 0.2543 0.7505  6 O 1.94-1.98
O 0.0069 0.4525 0.2131  1 Cr 1.86, 1 Ni 1.96
O 0.0647 0.2376 0.4964  1 Cr 1.91, 1 Ni 1.94
O 0.4407 0.2573 0.0067  1 Cr 1.86, 1 Ni 1.97
O 0.5199 0.0298 0.2829  1 Cr 1.91, 1 Ni 1.96
O 0.5946 0.4702 0.7921  1 Cr 1.84, 1 Ni 1.98
O 0.9446 0.0283 0.7211  1 Cr 1.93, 1 Ni 1.96



5.
CaLaTaCrO6: relaxed, PBEsol.

Summary:
As for the calculated volume: 250.1 Å³/cell. The magnetic moment comes out at 0.40 μB per atom. As for the energy relative to the elements, uncorrected: -2.827 eV per atom.

abc: 5.4100 5.5268 9.8949
angles: 90.00 122.28 90.00
Last column: nearest neighbours and their distance in Å.
Space group Pc (No. 7)
Symmetry-distinct sites (fractional):
Ca 0.0000 0.2038 0.0000  5 O 2.28-2.49
La 0.4513 0.2903 0.4907  5 O 2.31-2.53
Ta 0.7215 0.2468 0.2439  6 O 1.97-2.02
Cr 0.2188 0.2526 0.7443  4 O 1.98-2.02
O 0.0533 0.0303 0.2929  1 Cr 1.98, 1 Ta 1.99
O 0.3875 0.4604 0.1984  1 Ta 2.00, 1 Cr 2.00
O 0.4463 0.0334 0.6850  1 Ta 2.01, 1 Cr 2.02
O 0.6083 0.2857 0.0202  1 Ta 1.97
O 0.8516 0.2093 0.4726  1 Ta 1.99
O 0.9939 0.4671 0.8076  1 Ta 2.02, 1 Cr 2.02



6.
CaLaCrWO6: relaxed, PBEsol.

Summary:
As for the calculated volume: 231.9 Å³/cell. The magnetic moment comes out at 0.10 μB per atom. As for the energy relative to the elements, uncorrected: -2.569 eV per atom.

abc: 5.4399 5.5133 9.4367
angles: 90.00 124.99 90.00
Last column: nearest neighbours and their distance in Å.
Space group Pc (No. 7)
Symmetry-distinct sites (fractional):
Ca 0.0000 0.2028 0.0000  6 O 2.37-2.61
La 0.5178 0.2863 0.5022  8 O 2.43-2.71
Cr 0.7608 0.2507 0.2508  6 O 1.95-1.97
W 0.2621 0.2507 0.7524  6 O 1.99-2.00
O 0.0115 0.4573 0.2110  1 Cr 1.97, 1 W 2.00
O 0.0719 0.2333 0.4991  1 Cr 1.95, 1 W 1.99
O 0.4362 0.2597 0.0040  1 Cr 1.96, 1 W 1.99
O 0.5126 0.0364 0.2867  1 Cr 1.96, 1 W 1.99
O 0.5955 0.4607 0.7903  1 Cr 1.97, 1 W 2.00
O 0.9390 0.0329 0.7179  1 Cr 1.96, 1 W 2.00



7.
LiCaCr3: relaxed, PBEsol.

Summary:
As for the calculated volume: 164.3 Å³/cell. The magnetic moment comes out at 3.00 μB per atom. As for the total energy: -4.7914 eV/atom.

abc: 5.4765 5.4765 5.4765
angles: 90.00 90.00 90.00
Last column: nearest neighbours and their distance in Å.
Space group Pm-3m (No. 221)
Symmetry-distinct sites (fractional):
Li 0.0000 0.0000 0.0000  12 Cr 3.87
Ca 0.5000 0.5000 0.5000  6 Cr 2.74
Cr 0.0000 0.5000 0.5000  2 Ca 2.74



8.
SrLi2CaCr: relaxed, PBEsol.

Summary:
As for the calculated volume: 174.9 Å³/cell. The magnetic moment comes out at 0.92 μB per atom. As for the total energy: -2.2524 eV/atom.

abc: 5.2785 5.2785 6.2775
angles: 90.00 90.00 90.00
Last column: nearest neighbours and their distance in Å.
Space group P4/mmm (No. 123)
Symmetry-distinct sites (fractional):
Sr 0.0000 0.0000 0.0000  4 Li 2.64
Li 0.0000 0.5000 0.0000  2 Sr 2.64
Ca 0.0000 0.0000 0.5000  2 Sr 3.14
Cr 0.5000 0.5000 0.5000  4 Ca 3.73, 8 Li 4.10



9.
LiCaTa2Cr: relaxed, PBEsol.

Summary:
As for the calculated volume: 96.1 Å³/cell. The magnetic moment comes out at 0.66 μB per atom. As for the total energy: -6.3103 eV/atom.

abc: 4.4478 4.4478 4.8566
angles: 90.00 90.00 90.00
Last column: nearest neighbours and their distance in Å.
Space group P4/mmm (No. 123)
Symmetry-distinct sites (fractional):
Li 0.0000 0.0000 0.0000  4 Ta 2.22, 2 Ca 2.43
Ca 0.0000 0.0000 0.5000  2 Li 2.43
Ta 0.0000 0.5000 0.0000  2 Li 2.22
Cr 0.5000 0.5000 0.5000  4 Ca 3.15, 8 Ta 3.29



10.
Ca3MgCr: relaxed, PBEsol.

Summary:
As for the calculated volume: 178.2 Å³/cell. The magnetic moment comes out at 0.73 μB per atom. As for the total energy: -3.0340 eV/atom.

abc: 5.6277 5.6277 5.6277
angles: 90.00 90.00 90.00
Last column: nearest neighbours and their distance in Å.
Space group Pm-3m (No. 221)
Symmetry-distinct sites (fractional):
Ca 0.0000 0.0000 0.5000  2 Cr 2.81
Mg 0.5000 0.5000 0.5000  12 Ca 3.98
Cr 0.0000 0.0000 0.0000  6 Ca 2.81



11.
CaMg3Cr: relaxed, PBEsol.

Summary:
As for the calculated volume: 137.3 Å³/cell. The magnetic moment comes out at 0.76 μB per atom. As for the total energy: -2.9880 eV/atom.

abc: 5.1584 5.1584 5.1584
angles: 90.00 90.00 90.00
Last column: nearest neighbours and their distance in Å.
Space group Pm-3m (No. 221)
Symmetry-distinct sites (fractional):
Ca 0.0000 0.0000 0.0000  12 Mg 3.65
Mg 0.0000 0.5000 0.5000  2 Cr 2.58
Cr 0.5000 0.5000 0.5000  6 Mg 2.58



12.
Na3CaMgCr3Si8O24: relaxed, PBEsol.

Summary:
As for the calculated volume: 425.5 Å³/cell. The magnetic moment comes out at 0.22 μB per atom. As for the energy relative to the elements, uncorrected: -2.597 eV per atom.

abc: 5.2783 8.7530 9.5248
angles: 90.00 104.79 90.00
Last column: nearest neighbours and their distance in Å.
Space group P2 (No. 3)
Symmetry-distinct sites (fractional):
Na 0.0000 0.0000 0.0000  6 O 2.38-2.43
Na 0.0000 0.0990 0.5000  6 O 2.34-2.51
Na 0.5000 0.6025 0.0000  6 O 2.39-2.43
Ca 0.5000 0.5017 0.5000  6 O 2.34-2.47
Mg 0.0000 0.7151 0.5000  6 O 2.03-2.09
Cr 0.0000 0.3944 0.0000  6 O 1.94-2.05
Cr 0.5000 0.2086 0.0000  6 O 1.92-2.03
Cr 0.5000 0.8941 0.5000  6 O 1.95-2.04
Si 0.1884 0.3926 0.7112  4 O 1.59-1.68
Si 0.1920 0.7122 0.2069  4 O 1.62-1.66
Si 0.3103 0.2058 0.2894  4 O 1.60-1.67
Si 0.3131 0.8965 0.7913  4 O 1.61-1.66
O 0.0961 0.7940 0.8500  2 Si 1.64-1.66
O 0.1058 0.3161 0.3526  2 Si 1.66-1.67
O 0.1907 0.5429 0.1392  1 Si 1.62
O 0.2034 0.5559 0.6397  1 Si 1.59
O 0.2262 0.2218 0.1116  1 Si 1.64
O 0.2371 0.8881 0.6145  1 Si 1.63
O 0.2726 0.3792 0.8890  1 Si 1.64
O 0.2866 0.7196 0.3848  1 Si 1.64
O 0.3011 0.0409 0.3601  1 Si 1.60
O 0.3076 0.0638 0.8617  1 Si 1.61
O 0.4003 0.2880 0.6473  2 Si 1.66-1.68
O 0.4002 0.8143 0.1415  2 Si 1.65-1.66



13.
CaMgCrPd2: relaxed, PBEsol.

Summary:
As for the calculated volume: 120.6 Å³/cell. The magnetic moment comes out at 0.90 μB per atom. As for the total energy: -4.0415 eV/atom.

abc: 4.7785 4.7785 5.2806
angles: 90.00 90.00 90.00
Last column: nearest neighbours and their distance in Å.
Space group P4/mmm (No. 123)
Symmetry-distinct sites (fractional):
Ca 0.0000 0.0000 0.0000  4 Pd 2.39, 2 Mg 2.64
Mg 0.0000 0.0000 0.5000  2 Ca 2.64
Cr 0.5000 0.5000 0.5000  4 Mg 3.38, 8 Pd 3.56
Pd 0.0000 0.5000 0.0000  2 Ca 2.39



14.
CaMgSc2Cr: relaxed, PBEsol.

Summary:
As for the calculated volume: 120.3 Å³/cell. The magnetic moment comes out at 0.00 μB per atom. As for the total energy: -5.1252 eV/atom.

abc: 4.7350 4.7350 5.3637
angles: 90.00 90.00 90.00
Last column: nearest neighbours and their distance in Å.
Space group P4/mmm (No. 123)
Symmetry-distinct sites (fractional):
Ca 0.0000 0.0000 0.0000  4 Mg 3.35, 8 Sc 3.58
Mg 0.5000 0.5000 0.0000  2 Cr 2.68
Sc 0.0000 0.5000 0.5000  2 Cr 2.37
Cr 0.5000 0.5000 0.5000  4 Sc 2.37



15.
Ca3MnCr: relaxed, PBEsol.

Summary:
As for the calculated volume: 165.4 Å³/cell. The magnetic moment comes out at 1.59 μB per atom. The calculation puts the energy above the most stable polymorph in this dataset at 121 meV per atom.

abc: 5.4895 5.4895 5.4895
angles: 90.00 90.00 90.00
Last column: nearest neighbours and their distance in Å.
Space group Pm-3m (No. 221)
Symmetry-distinct sites (fractional):
Ca 0.0000 0.0000 0.5000  2 Cr 2.74
Mn 0.5000 0.5000 0.5000  12 Ca 3.88
Cr 0.0000 0.0000 0.0000  6 Ca 2.74



16.
CaMn2Cr: relaxed, PBEsol.

Summary:
As for the calculated volume: 261.5 Å³/cell. The magnetic moment comes out at 0.83 μB per atom. The calculation puts the energy above the most stable polymorph in this dataset at 106 meV per atom.

abc: 6.3948 6.3948 6.3948
angles: 90.00 90.00 90.00
Last column: nearest neighbours and their distance in Å.
Space group Fm-3m (No. 225)
Symmetry-distinct sites (fractional):
Ca 0.0000 0.0000 0.0000  8 Mn 2.77
Mn 0.2500 0.2500 0.2500  4 Cr 2.77, 4 Ca 2.77
Cr 0.0000 0.0000 0.5000  8 Mn 2.77



17.
CaMn2Cr: relaxed, PBEsol.

Summary:
As for the calculated volume: 62.3 Å³/cell. The magnetic moment comes out at 0.23 μB per atom. The calculation puts the energy above the most stable polymorph in this dataset at 0 meV per atom.

abc: 3.0616 3.0616 6.6496
angles: 90.00 90.00 90.00
Last column: nearest neighbours and their distance in Å.
Space group P4mm (No. 99)
Symmetry-distinct sites (fractional):
Ca 0.0000 0.0000 0.0000  4 Ca 3.06, 6 Mn 3.11-3.36, 4 Cr 3.21
Mn 0.0000 0.0000 0.5053  4 Cr 2.38, 4 Mn 2.41
Mn 0.5000 0.5000 0.6637  1 Cr 2.04
Cr 0.5000 0.5000 0.3572  1 Mn 2.04



18.
Ca3MnCr: relaxed, PBEsol.

Summary:
As for the calculated volume: 152.2 Å³/cell. The magnetic moment comes out at 1.42 μB per atom. The calculation puts the energy above the most stable polymorph in this dataset at 0 meV per atom.

abc: 5.3390 5.3390 5.3390
angles: 90.00 90.00 90.00
Last column: nearest neighbours and their distance in Å.
Space group Pm-3m (No. 221)
Symmetry-distinct sites (fractional):
Ca 0.0000 0.0000 0.5000  2 Mn 2.67
Mn 0.0000 0.0000 0.0000  6 Ca 2.67
Cr 0.5000 0.5000 0.5000  12 Ca 3.78



19.
SrCaMnCr2: relaxed, PBEsol.

Summary:
As for the calculated volume: 116.5 Å³/cell. The magnetic moment comes out at 1.00 μB per atom. As for the total energy: -5.8702 eV/atom.

abc: 4.6565 4.6565 5.3725
angles: 90.00 90.00 90.00
Last column: nearest neighbours and their distance in Å.
Space group P4/mmm (No. 123)
Symmetry-distinct sites (fractional):
Sr 0.0000 0.0000 0.0000  2 Mn 2.69
Ca 0.5000 0.5000 0.0000  4 Sr 3.29, 8 Cr 3.55
Mn 0.0000 0.0000 0.5000  4 Cr 2.33
Cr 0.0000 0.5000 0.5000  2 Mn 2.33



20.
Ca2CrMo: relaxed, PBEsol.

Summary:
As for the calculated volume: 83.3 Å³/cell. The magnetic moment comes out at 0.47 μB per atom. The calculation puts the energy above the most stable polymorph in this dataset at 0 meV per atom.

abc: 4.0223 4.2053 4.9218
angles: 90.00 90.00 90.00
Last column: nearest neighbours and their distance in Å.
Space group Pmmm (No. 47)
Symmetry-distinct sites (fractional):
Ca 0.0000 0.0000 0.0000  4 Ca 2.91, 4 Mo 3.18, 4 Cr 3.24
Ca 0.5000 0.5000 0.0000  4 Ca 2.91, 4 Cr 3.18, 4 Mo 3.24
Cr 0.0000 0.5000 0.5000  4 Mo 2.91, 8 Ca 3.18-3.24
Mo 0.5000 0.0000 0.5000  4 Cr 2.91, 8 Ca 3.18-3.24